(1)
Material: GaNiC3
Method: DFT, meta-GGA SCAN
State: single point on PBEsol structure Values from VASP.

```
&SYSTEM
  ibrav = 0, nat = 5, ntyp = 3
/
ATOMIC_SPECIES
C 12.01 C.upf
Ni 58.69 Ni.upf
Ga 69.72 Ga.upf
CELL_PARAMETERS angstrom
3.873 0.000 0.000
0.000 3.873 0.000
0.000 0.000 3.873
ATOMIC_POSITIONS angstrom
C 0.000 0.000 1.936
Ni 1.936 1.936 1.936
C 1.936 0.000 0.000
Ga 0.000 0.000 0.000
C 0.000 1.936 0.000
```

Values from the calculation:
ΔH_f (0 K): 3.000 eV/atom
D(E_F): 0.539 states/eV per atom
space-group type: No. 221


(2)
Material: Hg5Au6
Method: DFT, meta-GGA SCAN
State: single point on PBEsol structure Values from VASP.

```
&SYSTEM
  ibrav = 0, nat = 22, ntyp = 2
/
ATOMIC_SPECIES
Hg 200.59 Hg.upf
Au 196.97 Au.upf
CELL_PARAMETERS angstrom
6.998 0.000 0.000
-3.499 6.060 0.000
0.000 0.000 10.152
ATOMIC_POSITIONS angstrom
Hg 0.000 4.040 0.000
Au -0.841 1.457 9.033
Hg -1.445 2.503 2.538
Au 0.841 1.457 1.119
Hg 2.890 0.000 2.538
Au 2.658 4.603 9.033
Au 1.683 0.000 6.194
Au 0.841 1.457 3.957
Au 2.658 4.603 6.194
Hg 3.499 2.020 0.000
Hg 2.054 3.558 2.538
Hg 0.000 4.040 5.076
Au -0.841 1.457 6.194
Au 1.683 0.000 9.033
Hg 1.445 2.503 7.614
Hg 4.108 0.000 7.614
Hg -2.054 3.558 7.614
Au -2.658 4.603 3.957
Au 5.315 0.000 1.119
Au -2.658 4.603 1.119
Au 5.315 0.000 3.957
Hg 3.499 2.020 5.076
```

Values from the calculation:
ΔH_f (0 K): 0.004 eV/atom
D(E_F): 0.253 states/eV per atom
space-group type: No. 193


(3)
Material: CoRe2Au
Method: DFT, meta-GGA SCAN
State: single point on PBEsol structure Values from VASP.

```
&SYSTEM
  ibrav = 0, nat = 4, ntyp = 3
/
ATOMIC_SPECIES
Co 58.93 Co.upf
Re 186.21 Re.upf
Au 196.97 Au.upf
CELL_PARAMETERS angstrom
-1.051 2.117 -1.976
-2.894 -0.680 0.811
0.237 4.175 4.347
ATOMIC_POSITIONS angstrom
Co -1.854 2.806 1.591
Re 0.071 1.250 1.301
Au -1.973 0.719 -0.583
Re 0.166 2.925 3.046
```

Values from the calculation:
ΔE to the lowest computed polymorph: 171 meV per atom
ΔH_f (0 K): 0.485 eV/atom
D(E_F): 0.748 states/eV per atom
space-group type: No. 123


(4)
Material: ScHgPb2
Method: DFT, meta-GGA SCAN
State: single point on PBEsol structure Values from VASP.

```
&SYSTEM
  ibrav = 0, nat = 4, ntyp = 3
/
ATOMIC_SPECIES
Pb 207.20 Pb.upf
Sc 44.96 Sc.upf
Hg 200.59 Hg.upf
CELL_PARAMETERS angstrom
3.543 0.000 -0.047
0.000 4.852 0.000
-1.705 0.000 5.843
ATOMIC_POSITIONS angstrom
Pb 2.015 2.426 1.849
Sc 0.257 0.000 2.704
Hg 0.273 2.426 4.511
Pb -1.492 0.000 5.474
```

Values from the calculation:
ΔH_f (0 K): -0.256 eV/atom
D(E_F): 0.639 states/eV per atom
space-group type: No. 6


(5)
Material: NiSnSb2N
Method: DFT, meta-GGA SCAN
State: single point on PBEsol structure Values from VASP.

```
&SYSTEM
  ibrav = 0, nat = 5, ntyp = 4
/
ATOMIC_SPECIES
Sb 121.76 Sb.upf
Ni 58.69 Ni.upf
Sn 118.71 Sn.upf
N 14.01 N.upf
CELL_PARAMETERS angstrom
-0.107 -4.754 0.032
0.367 0.024 4.785
-4.784 0.110 0.366
ATOMIC_POSITIONS angstrom
Sb 0.183 0.012 2.393
Sb -2.392 0.055 0.183
Ni 0.000 0.000 0.000
Sn -0.054 -2.377 0.016
N -2.262 -2.310 2.592
```

Values from the calculation:
E_form (uncorrected): 1.22 eV per atom
D(E_F): 0.469 states/eV per atom
space-group type: No. 123


(6)
Material: CuRhAu2
Method: DFT, meta-GGA SCAN
State: single point on PBEsol structure Values from VASP.

```
&SYSTEM
  ibrav = 0, nat = 4, ntyp = 3
/
ATOMIC_SPECIES
Rh 102.91 Rh.upf
Cu 63.55 Cu.upf
Au 196.97 Au.upf
CELL_PARAMETERS angstrom
-0.636 0.280 -2.699
-2.050 -1.524 -1.114
-6.689 5.898 0.751
ATOMIC_POSITIONS angstrom
Rh 0.000 0.000 0.000
Cu -4.688 2.327 -1.531
Au -6.974 3.428 -2.316
Au -2.401 1.226 -0.745
```

Values from the calculation:
ΔE to the lowest computed polymorph: 52 meV per atom
ΔH_f (0 K): 0.083 eV/atom
D(E_F): 0.726 states/eV per atom
space-group type: No. 166


(7)
Material: CdAgAu2
Method: DFT, meta-GGA SCAN
State: single point on PBEsol structure Values from VASP.

```
&SYSTEM
  ibrav = 0, nat = 4, ntyp = 3
/
ATOMIC_SPECIES
Ag 107.87 Ag.upf
Au 196.97 Au.upf
Cd 112.41 Cd.upf
CELL_PARAMETERS angstrom
4.130 0.000 0.000
0.000 4.130 0.000
-2.065 -2.065 4.069
ATOMIC_POSITIONS angstrom
Ag 0.000 2.065 2.034
Au 2.065 2.065 0.000
Cd 0.000 0.000 0.000
Au 2.065 0.000 2.034
```

Values from the calculation:
ΔH_f (0 K): -0.178 eV/atom
D(E_F): 0.247 states/eV per atom
space-group type: No. 119


(8)
Material: CdIn3Hg
Method: DFT, meta-GGA SCAN
State: single point on PBEsol structure Values from VASP.

```
&SYSTEM
  ibrav = 0, nat = 5, ntyp = 3
/
ATOMIC_SPECIES
Cd 112.41 Cd.upf
In 114.82 In.upf
Hg 200.59 Hg.upf
CELL_PARAMETERS angstrom
-1.934 -4.340 2.630
2.268 -3.257 -3.706
4.539 -0.221 2.973
ATOMIC_POSITIONS angstrom
Cd 2.437 -3.909 0.948
In 2.270 -0.111 1.486
In -0.967 -2.170 1.315
In 1.134 -1.629 -1.853
Hg 0.000 0.000 0.000
```

Values from the calculation:
ΔH_f (0 K): 0.390 eV/atom
D(E_F): 0.464 states/eV per atom
space-group type: No. 221


(9)
Material: CaNiSb2
Method: DFT, meta-GGA SCAN
State: single point on PBEsol structure Values from VASP.

```
&SYSTEM
  ibrav = 0, nat = 4, ntyp = 3
/
ATOMIC_SPECIES
Ni 58.69 Ni.upf
Sb 121.76 Sb.upf
Ca 40.08 Ca.upf
CELL_PARAMETERS angstrom
4.953 0.000 0.000
2.476 4.289 0.000
2.476 1.430 4.044
ATOMIC_POSITIONS angstrom
Ni 4.953 2.859 2.022
Sb 7.429 4.289 3.033
Ca 0.000 0.000 0.000
Sb 2.476 1.430 1.011
```

Values from the calculation:
E_form (uncorrected): -0.06 eV per atom
D(E_F): 0.723 states/eV per atom
space-group type: No. 225


(10)
Material: Ca4ScSi
Method: DFT, meta-GGA SCAN
State: single point on PBEsol structure Values from VASP.

```
&SYSTEM
  ibrav = 0, nat = 6, ntyp = 3
/
ATOMIC_SPECIES
Ca 40.08 Ca.upf
Si 28.09 Si.upf
Sc 44.96 Sc.upf
CELL_PARAMETERS angstrom
6.390 0.000 0.000
3.195 5.534 0.000
3.195 1.845 5.218
ATOMIC_POSITIONS angstrom
Ca 7.988 2.767 1.957
Si 0.000 0.000 0.000
Ca 4.793 2.767 1.957
Ca 6.390 3.689 4.565
Sc 9.585 5.534 3.913
Ca 6.390 5.534 1.957
```

Values from the calculation:
E_form (uncorrected): 0.63 eV per atom
D(E_F): 0.847 states/eV per atom
space-group type: No. 216


no.,M_tot (μB/cell)
1,0.00
2,0.00
3,1.41
4,0.00
5,0.00
6,0.31
7,0.00
8,0.00
9,0.00
10,2.05